# 1
Entry from Alexandria via LeMat-Bulk: Pm2Si3Ni12Rh after structural relaxation (PBE).

Cell: 6.308 6.308 6.308 Å, 85.31 85.31 85.31°
Positions (direct):
Rh1 0.000 0.000 0.000
Pm1 0.668 0.668 0.668
Ni1 0.300 0.810 0.810
Ni2 0.190 0.700 0.190
Si1 0.500 0.000 0.000
Ni3 0.613 0.102 0.613
Ni4 0.613 0.613 0.102
Ni5 0.190 0.190 0.700
Ni6 0.387 0.387 0.898
Ni7 0.810 0.300 0.810
Ni8 0.700 0.190 0.190
Si2 0.000 0.500 0.000
Ni9 0.387 0.898 0.387
Ni10 0.898 0.387 0.387
Ni11 0.102 0.613 0.613
Ni12 0.810 0.810 0.300
Si3 0.000 0.000 0.500
Pm2 0.332 0.332 0.332

## Properties
Its crystal system is trigonal.

# 2
Entry from Alexandria via LeMat-Bulk: Pm2Si4Ni3Rh after structural relaxation (PBE).

Cell: 4.030 4.030 9.758 Å, 90.00 90.00 90.00°
Positions (direct):
Rh1 0.500 0.500 0.500
Ni1 0.000 0.000 0.500
Si1 0.000 0.500 0.365
Si2 0.500 0.000 0.635
Si3 0.500 0.500 0.000
Pm1 0.000 0.500 0.758
Ni2 0.000 0.500 0.122
Ni3 0.500 0.000 0.878
Pm2 0.500 0.000 0.242
Si4 0.000 0.000 0.000

## Properties
Its crystal system is tetragonal.

# 3
Entry from Alexandria via LeMat-Bulk: PmNiSnRh after structural relaxation (PBE).

Cell: 4.738 4.738 4.738 Å, 60.00 60.00 60.00°
Positions (direct):
Ni1 0.000 0.000 0.000
Sn1 0.250 0.250 0.250
Rh1 0.500 0.500 0.500
Pm1 0.750 0.750 0.750

## Properties
Its crystal system is cubic.

# 4
Entry from Alexandria via LeMat-Bulk: Pm2NiSn4Rh3 after structural relaxation (PBE).

Cell: 4.560 4.560 10.361 Å, 90.00 90.00 90.00°
Positions (direct):
Rh1 0.500 0.000 0.869
Ni1 0.500 0.500 0.500
Sn1 0.500 0.500 0.000
Pm1 0.000 0.500 0.742
Rh2 0.000 0.500 0.131
Sn2 0.500 0.000 0.621
Sn3 0.000 0.000 0.000
Sn4 0.000 0.500 0.379
Pm2 0.500 0.000 0.258
Rh3 0.000 0.000 0.500

## Properties
Its crystal system is tetragonal.

# 5
Entry from Alexandria via LeMat-Bulk: Pm2Ni3Sn4Rh after structural relaxation (PBE).

Cell: 4.428 4.428 10.409 Å, 90.00 90.00 90.00°
Positions (direct):
Sn1 0.000 0.000 0.000
Ni1 0.500 0.000 0.873
Pm1 0.000 0.500 0.746
Ni2 0.000 0.500 0.127
Sn2 0.500 0.000 0.634
Sn3 0.500 0.500 0.000
Rh1 0.500 0.500 0.500
Sn4 0.000 0.500 0.366
Pm2 0.500 0.000 0.254
Ni3 0.000 0.000 0.500

## Properties
Its crystal system is tetragonal.

# 6
Entry from Alexandria via LeMat-Bulk: SrPmNiRh after structural relaxation (PBE).

Cell: 5.024 5.024 5.024 Å, 60.00 60.00 60.00°
Positions (direct):
Sr1 0.500 0.500 0.500
Rh1 0.250 0.250 0.250
Ni1 0.750 0.750 0.750
Pm1 0.000 0.000 0.000

## Properties
Its crystal system is cubic.

no.,total magnetization (Bohr magnetons per cell),energy (eV/atom),DOS at the Fermi energy (states/eV/atom)
1,0.00,-5.7267,0.845
2,0.00,-6.4728,0.558
3,0.00,-5.9823,0.839
4,0.00,-5.9724,0.808
5,0.00,-5.5876,0.661
6,0.00,-5.0835,0.947